(1)
Computed, not measured: a relaxed structure of LiEr2Cd8 at the PBE-GGA level of DFT.

```
LiEr2Cd8
1.0
4.793 0.000 0.000
-0.024 6.748 0.000
-2.327 -2.014 7.675
Li Er Cd
1 2 8
direct
0.000 0.000 0.000 Li
0.282 0.341 0.564 Er
0.718 0.659 0.436 Er
0.096 0.428 0.186 Cd
0.158 0.886 0.314 Cd
0.349 0.843 0.704 Cd
0.476 0.267 0.951 Cd
0.524 0.733 0.049 Cd
0.651 0.157 0.296 Cd
0.842 0.114 0.686 Cd
0.904 0.572 0.814 Cd
```

---

(2)
Li3Er2Cd4 (PBE-GGA, relaxed); energy relative to the lowest polymorph listed for this composition = 0.00 eV/f.u.
1.0
4.815 0.000 0.000
2.394 5.034 0.000
0.039 2.029 8.024
Li Er Cd
3 2 4
direct
0.000 0.000 0.000 Li
0.368 0.266 0.469 Li
0.632 0.734 0.531 Li
0.251 0.495 0.795 Er
0.749 0.505 0.205 Er
0.079 0.842 0.361 Cd
0.434 0.133 0.161 Cd
0.566 0.867 0.839 Cd
0.921 0.158 0.639 Cd

---

E_tot per entry: -1.87 -2.27 eV/atom
ΔH_f (0 K) per entry: -0.199 -0.216 eV per atom